Entry 1:
Entry from Alexandria: a relaxed structure of Na3Bi4Pt4 (PBE).

## Properties
Formation energy: -271 meV/atom
Calculated total energy: -46.62 eV for the cell shown

Unit cell a=4.4556 b=7.8565 c=8.9254 alpha=116.11 beta=104.45 gamma=90.00
Closest atoms and distances in Å follow each position.
Fractional coordinates of all 11 atoms:
Na (0.8956, 0.8956, 0.7913)  4 Pt 3.06, 1 Na 3.21, 4 Bi 3.31
Pt (0.7878, 0.2878, 0.5756)  6 Bi 2.87-2.95
Bi (0.6653, 0.4535, 0.3305)  4 Pt 2.70-2.95
Pt (0.5000, 0.1726, 0.0000)  2 Bi 2.70, 1 Pt 2.71
Bi (0.6653, 0.8770, 0.3305)  4 Pt 2.70-2.95
Bi (0.3347, 0.1230, 0.6695)  4 Pt 2.70-2.95
Na (0.0000, 0.5000, 0.0000)  6 Pt 3.27-3.40
Pt (0.5000, 0.8274, 0.0000)  2 Bi 2.70, 1 Pt 2.71
Pt (0.2122, 0.7122, 0.4244)  6 Bi 2.87-2.95
Bi (0.3347, 0.5465, 0.6695)  4 Pt 2.70-2.95
Na (0.1044, 0.1044, 0.2087)  4 Pt 3.06, 1 Na 3.21, 4 Bi 3.31

***

Entry 2:
Entry from Alexandria: a relaxed structure of Na2Bi2Pt (PBE).

## Properties
Formation energy: -268 meV/atom
Calculated total energy: -35.56 eV for the cell shown
E above lowest polymorph: 3.2 meV per atom

Unit cell a=7.2881 b=7.2881 c=5.2383 alpha=90.00 beta=90.00 gamma=90.00
Closest atoms and distances in Å follow each position.
Fractional coordinates of all 10 atoms:
Na (0.1687, 0.6687, 0.5000)  6 Bi 3.22-3.51, 1 Na 3.48
Bi (0.1504, 0.3496, 0.0000)  2 Pt 2.77, 1 Bi 3.10
Bi (0.6504, 0.1504, 0.0000)  2 Pt 2.77, 1 Bi 3.10
Pt (0.5000, 0.5000, 0.0000)  4 Bi 2.77
Pt (0.0000, 0.0000, 0.0000)  4 Bi 2.77
Na (0.3313, 0.1687, 0.5000)  6 Bi 3.22-3.51, 1 Na 3.48
Na (0.8313, 0.3313, 0.5000)  6 Bi 3.22-3.51, 1 Na 3.48
Bi (0.3496, 0.8496, 0.0000)  2 Pt 2.77, 1 Bi 3.10
Na (0.6687, 0.8313, 0.5000)  6 Bi 3.22-3.51, 1 Na 3.48
Bi (0.8496, 0.6504, 0.0000)  2 Pt 2.77, 1 Bi 3.10

***

Entry 3:
Entry from Alexandria: a relaxed structure of NaBiPt (PBE).

## Properties
Formation energy: -225 meV/atom
Calculated total energy: -11.91 eV for the cell shown
E above lowest polymorph: 139.1 meV per atom

Unit cell a=3.3111 b=4.8458 c=4.8458 alpha=120.00 beta=90.00 gamma=90.00
Closest atoms and distances in Å follow each position.
Fractional coordinates of all 3 atoms:
Na (0.6668, 0.6667, 0.3333)  6 Pt 3.25, 6 Bi 3.25, 2 Na 3.31
Pt (0.1666, 0.0000, 0.0000)  3 Bi 2.80
Bi (0.1667, 0.3333, 0.6667)  3 Pt 2.80

***

Entry 4:
Entry from Alexandria: a relaxed structure of NaBi8Pt2 (PBE).

## Properties
Formation energy: -128 meV/atom
Calculated total energy: -45.85 eV for the cell shown

Unit cell a=5.5056 b=8.0249 c=8.0249 alpha=111.57 beta=97.88 gamma=97.88
Closest atoms and distances in Å follow each position.
Fractional coordinates of all 11 atoms:
Bi (0.5000, 0.7514, 0.2486)  2 Pt 2.94
Bi (0.1110, 0.3453, 0.0619)  2 Pt 2.92-3.04
Bi (0.6971, 0.3859, 0.3859)  2 Pt 2.88
Bi (0.1110, 0.0619, 0.3453)  2 Pt 2.92-3.04
Bi (0.3029, 0.6141, 0.6141)  2 Pt 2.88
Na (0.5000, 0.0000, 0.0000)  8 Bi 3.30-3.66
Bi (0.8890, 0.6547, 0.9381)  2 Pt 2.92-3.04
Bi (0.8890, 0.9381, 0.6547)  2 Pt 2.92-3.04
Pt (0.0000, 0.6733, 0.3267)  8 Bi 2.88-3.04
Bi (0.5000, 0.2486, 0.7514)  2 Pt 2.94
Pt (0.0000, 0.3267, 0.6733)  8 Bi 2.88-3.04

***

Entry 5:
Entry from Alexandria: a relaxed structure of Na2Bi2Pt (PBE).

## Properties
Formation energy: -271 meV/atom
Calculated total energy: -17.80 eV for the cell shown
E above lowest polymorph: 0.0 meV per atom

Unit cell a=3.9258 b=6.5404 c=6.5404 alpha=67.36 beta=72.54 gamma=72.54
Closest atoms and distances in Å follow each position.
Fractional coordinates of all 5 atoms:
Bi (0.5000, 0.2683, 0.7317)  2 Pt 2.76
Na (0.2366, 0.2634, 0.2634)  6 Bi 3.31-3.53, 2 Pt 3.32
Bi (0.5000, 0.7317, 0.2683)  2 Pt 2.76
Na (0.7634, 0.7366, 0.7366)  6 Bi 3.31-3.53, 2 Pt 3.32
Pt (0.0000, 0.0000, 0.0000)  4 Bi 2.76

***

Entry 6:
Entry from Alexandria: a relaxed structure of NaBi3Pt2 (PBE).

## Properties
Formation energy: -107 meV/atom
Calculated total energy: -51.37 eV for the cell shown

Unit cell a=3.3653 b=8.1690 c=11.9062 alpha=94.67 beta=98.12 gamma=90.00
Closest atoms and distances in Å follow each position.
Fractional coordinates of all 12 atoms:
Bi (0.0642, 0.7992, 0.1283)  2 Pt 2.74-2.79
Bi (0.9358, 0.2008, 0.8717)  2 Pt 2.74-2.79
Pt (0.2965, 0.5957, 0.5930)  4 Bi 2.73-2.78, 1 Na 2.91
Bi (0.5861, 0.3962, 0.1722)  3 Pt 2.76-2.82
Pt (0.7035, 0.4043, 0.4070)  4 Bi 2.73-2.78, 1 Na 2.91
Pt (0.0476, 0.1331, 0.0953)  4 Bi 2.74-2.82, 1 Pt 3.00
Na (0.3467, 0.9327, 0.6934)  3 Pt 2.91-3.09, 2 Bi 3.23
Pt (0.9524, 0.8669, 0.9047)  4 Bi 2.74-2.82, 1 Pt 3.00
Na (0.6533, 0.0673, 0.3066)  3 Pt 2.91-3.09, 2 Bi 3.23
Bi (0.7212, 0.7391, 0.4423)  3 Pt 2.73-2.78
Bi (0.2788, 0.2609, 0.5577)  3 Pt 2.73-2.78
Bi (0.4139, 0.6038, 0.8278)  3 Pt 2.76-2.82

***

Entry 7:
Entry from Alexandria: a relaxed structure of NaBi3Pt (PBE).

## Properties
Formation energy: 108 meV/atom
Calculated total energy: -18.46 eV for the cell shown
E above lowest polymorph: 328.7 meV per atom

Unit cell a=5.5399 b=5.5399 c=5.5399 alpha=90.00 beta=90.00 gamma=90.00
Closest atoms and distances in Å follow each position.
Fractional coordinates of all 5 atoms:
Pt (0.0000, 0.0000, 0.0000)  6 Bi 2.77
Na (0.5000, 0.5000, 0.5000)  12 Bi 3.92
Bi (0.0000, 0.0000, 0.5000)  2 Pt 2.77
Bi (0.5000, 0.0000, 0.0000)  2 Pt 2.77
Bi (0.0000, 0.5000, 0.0000)  2 Pt 2.77

***

Entry 8:
Entry from Alexandria: a relaxed structure of NaBiPt (PBE).

## Properties
Formation energy: -255 meV/atom
Calculated total energy: -12.01 eV for the cell shown
E above lowest polymorph: 108.9 meV per atom

Unit cell a=4.7041 b=4.7041 c=4.7041 alpha=60.00 beta=60.00 gamma=60.00
Closest atoms and distances in Å follow each position.
Fractional coordinates of all 3 atoms:
Bi (0.0000, 0.0000, 0.0000)  4 Pt 2.88
Na (0.5000, 0.5000, 0.5000)  4 Pt 2.88
Pt (0.2500, 0.2500, 0.2500)  4 Bi 2.88, 4 Na 2.88

***

Entry 9:
Entry from Alexandria: a relaxed structure of NaBi3Pt3 (PBE).

## Properties
Formation energy: -5 meV/atom
Calculated total energy: -62.24 eV for the cell shown

Unit cell a=7.6676 b=7.6676 c=7.6676 alpha=90.00 beta=90.00 gamma=90.00
Closest atoms and distances in Å follow each position.
Fractional coordinates of all 14 atoms:
Pt (0.0000, 0.7500, 0.5000)  4 Bi 2.71
Bi (0.5000, 0.2500, 0.0000)  4 Pt 2.71
Pt (0.2500, 0.5000, 0.0000)  4 Bi 2.71
Pt (0.0000, 0.2500, 0.5000)  4 Bi 2.71
Bi (0.0000, 0.5000, 0.2500)  4 Pt 2.71
Pt (0.5000, 0.0000, 0.7500)  4 Bi 2.71
Bi (0.0000, 0.5000, 0.7500)  4 Pt 2.71
Pt (0.7500, 0.5000, 0.0000)  4 Bi 2.71
Pt (0.5000, 0.0000, 0.2500)  4 Bi 2.71
Na (0.0000, 0.0000, 0.0000)  12 Pt 4.29, 12 Bi 4.29
Bi (0.2500, 0.0000, 0.5000)  4 Pt 2.71
Bi (0.5000, 0.7500, 0.0000)  4 Pt 2.71
Na (0.5000, 0.5000, 0.5000)  12 Bi 4.29, 12 Pt 4.29
Bi (0.7500, 0.0000, 0.5000)  4 Pt 2.71

***

Entry 10:
Entry from Alexandria: a relaxed structure of Na2Bi2Pt3 (PBE).

## Properties
Formation energy: -248 meV/atom
Calculated total energy: -30.26 eV for the cell shown
E above lowest polymorph: 12.1 meV per atom

Unit cell a=4.2620 b=6.0521 c=6.9455 alpha=94.71 beta=107.87 gamma=90.00
Closest atoms and distances in Å follow each position.
Fractional coordinates of all 7 atoms:
Bi (0.4225, 0.2400, 0.8451)  4 Pt 2.80-2.82
Na (0.1611, 0.3724, 0.3221)  2 Pt 2.88-2.96
Pt (0.2015, 0.9119, 0.4029)  3 Pt 2.66-2.76, 2 Bi 2.80, 1 Na 2.88
Na (0.8389, 0.6276, 0.6779)  2 Pt 2.88-2.96
Pt (0.0000, 0.0000, 0.0000)  2 Pt 2.76, 4 Bi 2.82, 2 Na 2.96
Bi (0.5775, 0.7600, 0.1549)  4 Pt 2.80-2.82
Pt (0.7985, 0.0881, 0.5971)  3 Pt 2.66-2.76, 2 Bi 2.80, 1 Na 2.88

***

Q: Which of these has the highest calculated total energy?
A: number 3